(1)
Below is a geometry-optimized Ac2PrBi structure, with properties calculated at the PBE-GGA level.

Calculated values
DOS(E_F) = 3.43 states/eV/cell
calculated total energy = -18.436 eV/cell
ΔE_f = -1.6 eV/f.u.
relative energy among the computed polymorphs = 0 kJ/mol of formula units

```
data_Ac2PrBi
_chemical_formula_sum 'Ac2 Pr1 Bi1'
_cell_length_a 5.2791
_cell_length_b 5.2791
_cell_length_c 5.2108
_cell_angle_alpha 90.00
_cell_angle_beta 90.00
_cell_angle_gamma 90.00
_symmetry_space_group_name_H-M 'P 4/m m m'
_symmetry_Int_Tables_number 123
_symmetry_space_group_name_Hall '-P 4 2'
loop_
_atom_site_label
_atom_site_type_symbol
_atom_site_fract_x
_atom_site_fract_y
_atom_site_fract_z
Ac1 Ac 0.0000 0.5000 0.0000
Pr1 Pr 0.0000 0.0000 0.5000
Bi1 Bi 0.5000 0.5000 0.5000
```

=====

(2)
Below is a geometry-optimized Ac2PrBi structure, with properties calculated at the PBE-GGA level.

Calculated values
DOS(E_F) = 6.64 states/eV/cell
calculated total energy = -18.251 eV/cell
ΔE_f = -1.4 eV/f.u.
relative energy among the computed polymorphs = 18 kJ/mol of formula units

```
data_Ac2PrBi
_chemical_formula_sum 'Ac2 Pr1 Bi1'
_cell_length_a 4.4396
_cell_length_b 4.4396
_cell_length_c 7.8487
_cell_angle_alpha 90.00
_cell_angle_beta 90.00
_cell_angle_gamma 90.00
_symmetry_space_group_name_H-M 'P 4/m m m'
_symmetry_Int_Tables_number 123
_symmetry_space_group_name_Hall '-P 4 2'
loop_
_atom_site_label
_atom_site_type_symbol
_atom_site_fract_x
_atom_site_fract_y
_atom_site_fract_z
Ac1 Ac 0.0000 0.0000 0.2254
Pr1 Pr 0.5000 0.5000 0.5000
Bi1 Bi 0.5000 0.5000 0.0000
```

=====

(3)
Below is a geometry-optimized AcPrBi2 structure, with properties calculated at the PBE-GGA level.

Calculated values
DOS(E_F) = 14.33 states/eV/cell
calculated total energy = -78.364 eV/cell
ΔE_f = -2.9 eV/f.u.
relative energy among the computed polymorphs = 92 kJ/mol of formula units

```
data_AcPrBi2
_chemical_formula_sum 'Ac4 Pr4 Bi8'
_cell_length_a 8.2001
_cell_length_b 8.2001
_cell_length_c 8.2001
_cell_angle_alpha 90.00
_cell_angle_beta 90.00
_cell_angle_gamma 90.00
_symmetry_space_group_name_H-M 'F m -3 m'
_symmetry_Int_Tables_number 225
_symmetry_space_group_name_Hall '-F 4 2 3'
loop_
_atom_site_label
_atom_site_type_symbol
_atom_site_fract_x
_atom_site_fract_y
_atom_site_fract_z
Ac1 Ac 0.0000 0.0000 0.0000
Pr1 Pr 0.0000 0.0000 0.5000
Bi1 Bi 0.2500 0.2500 0.2500
```

=====

(4)
Below is a geometry-optimized AcPr4Bi5 structure, with properties calculated at the PBE-GGA level.

Calculated values
DOS(E_F) = 3.98 states/eV/cell
calculated total energy = -104.446 eV/cell
ΔE_f = -9.6 eV/f.u.

```
data_AcPr4Bi5
_chemical_formula_sum 'Ac2 Pr8 Bi10'
_cell_length_a 4.6921
_cell_length_b 6.6380
_cell_length_c 23.4462
_cell_angle_alpha 90.00
_cell_angle_beta 90.00
_cell_angle_gamma 90.00
_symmetry_space_group_name_H-M 'I m m m'
_symmetry_Int_Tables_number 71
_symmetry_space_group_name_Hall '-I 2 2'
loop_
_atom_site_label
_atom_site_type_symbol
_atom_site_fract_x
_atom_site_fract_y
_atom_site_fract_z
Ac1 Ac 0.0000 0.0000 0.0000
Pr1 Pr 0.0000 0.0000 0.2023
Pr2 Pr 0.0000 0.0000 0.3992
Bi1 Bi 0.0000 0.5000 0.0000
Bi2 Bi 0.0000 0.5000 0.1993
Bi3 Bi 0.0000 0.5000 0.3953
```

=====

(5)
Below is a geometry-optimized AcPrBi structure, with properties calculated at the PBE-GGA level.

Calculated values
DOS(E_F) = 12.05 states/eV/cell
calculated total energy = -53.858 eV/cell
ΔE_f = -0.7 eV/f.u.
relative energy among the computed polymorphs = 122 kJ/mol of formula units

```
data_AcPrBi
_chemical_formula_sum 'Ac4 Pr4 Bi4'
_cell_length_a 3.6246
_cell_length_b 18.9724
_cell_length_c 6.6117
_cell_angle_alpha 90.00
_cell_angle_beta 90.00
_cell_angle_gamma 90.00
_symmetry_space_group_name_H-M 'C m c m'
_symmetry_Int_Tables_number 63
_symmetry_space_group_name_Hall '-C 2c 2'
loop_
_atom_site_label
_atom_site_type_symbol
_atom_site_fract_x
_atom_site_fract_y
_atom_site_fract_z
Ac1 Ac 0.0000 0.0000 0.0000
Pr1 Pr 0.0000 0.3328 0.2500
Bi1 Bi 0.0000 0.1616 0.2500
```

=====

(6)
Below is a geometry-optimized AcPr3Bi4 structure, with properties calculated at the PBE-GGA level.

Calculated values
DOS(E_F) = 0.81 states/eV/cell
calculated total energy = -41.612 eV/cell
ΔE_f = -7.6 eV/f.u.
relative energy among the computed polymorphs = 4 kJ/mol of formula units

```
data_AcPr3Bi4
_chemical_formula_sum 'Ac1 Pr3 Bi4'
_cell_length_a 6.6539
_cell_length_b 6.6539
_cell_length_c 6.6539
_cell_angle_alpha 90.00
_cell_angle_beta 90.00
_cell_angle_gamma 90.00
_symmetry_space_group_name_H-M 'P m -3 m'
_symmetry_Int_Tables_number 221
_symmetry_space_group_name_Hall '-P 4 2 3'
loop_
_atom_site_label
_atom_site_type_symbol
_atom_site_fract_x
_atom_site_fract_y
_atom_site_fract_z
Ac1 Ac 0.0000 0.0000 0.0000
Pr1 Pr 0.0000 0.5000 0.5000
Bi1 Bi 0.0000 0.0000 0.5000
Bi2 Bi 0.5000 0.5000 0.5000
```

=====

(7)
Below is a geometry-optimized AcPr3Bi2 structure, with properties calculated at the PBE-GGA level.

Calculated values
DOS(E_F) = 29.71 states/eV/cell
calculated total energy = -118.500 eV/cell
ΔE_f = -3.4 eV/f.u.
relative energy among the computed polymorphs = 17 kJ/mol of formula units

```
data_AcPr3Bi2
_chemical_formula_sum 'Ac4 Pr12 Bi8'
_cell_length_a 19.7161
_cell_length_b 4.6544
_cell_length_c 10.3320
_cell_angle_alpha 90.00
_cell_angle_beta 115.21
_cell_angle_gamma 90.00
_symmetry_space_group_name_H-M 'C 1 2/m 1'
_symmetry_Int_Tables_number 12
loop_
_symmetry_equiv_pos_as_xyz
'x,y,z'
'-x,-y,-z'
'-x,y,-z'
'x,-y,z'
'x+1/2,y+1/2,z'
'-x+1/2,-y+1/2,-z'
'-x+1/2,y+1/2,-z'
'x+1/2,-y+1/2,z'
loop_
_atom_site_label
_atom_site_type_symbol
_atom_site_fract_x
_atom_site_fract_y
_atom_site_fract_z
Ac1 Ac 0.1139 0.0000 0.1263
Pr1 Pr 0.0572 0.0000 0.6712
Pr2 Pr 0.1429 0.5000 0.4723
Pr3 Pr 0.1884 0.5000 0.8877
Bi1 Bi 0.0114 0.5000 0.8410
Bi2 Bi 0.2431 0.0000 0.7105
```

=====

(8)
Below is a geometry-optimized AcPr2Bi structure, with properties calculated at the PBE-GGA level.

Calculated values
DOS(E_F) = 16.81 states/eV/cell
calculated total energy = -53.255 eV/cell
ΔE_f = -0.2 eV/f.u.
relative energy among the computed polymorphs = 140 kJ/mol of formula units

```
data_AcPr2Bi
_chemical_formula_sum 'Ac3 Pr6 Bi3'
_cell_length_a 4.1500
_cell_length_b 4.1500
_cell_length_c 34.4237
_cell_angle_alpha 90.00
_cell_angle_beta 90.00
_cell_angle_gamma 120.00
_symmetry_space_group_name_H-M 'R -3 m'
_symmetry_Int_Tables_number 166
_symmetry_space_group_name_Hall '-R 3 2"'
loop_
_atom_site_label
_atom_site_type_symbol
_atom_site_fract_x
_atom_site_fract_y
_atom_site_fract_z
Ac1 Ac 0.0000 0.0000 0.0000
Pr1 Pr 0.0000 0.0000 0.1068
Bi1 Bi 0.0000 0.0000 0.5000
```

=====

(9)
Below is a geometry-optimized AcPrBiPt structure, with properties calculated at the PBE-GGA level.

Calculated values
DOS(E_F) = 17.62 states/eV/cell
calculated total energy = -86.903 eV/cell
ΔE_f = -2.9 eV/f.u.

```
data_AcPrBiPt
_chemical_formula_sum 'Ac4 Pr4 Bi4 Pt4'
_cell_length_a 7.8305
_cell_length_b 7.8305
_cell_length_c 7.8305
_cell_angle_alpha 90.00
_cell_angle_beta 90.00
_cell_angle_gamma 90.00
_symmetry_space_group_name_H-M 'F -4 3 m'
_symmetry_Int_Tables_number 216
_symmetry_space_group_name_Hall 'F -4 2 3'
loop_
_atom_site_label
_atom_site_type_symbol
_atom_site_fract_x
_atom_site_fract_y
_atom_site_fract_z
Ac1 Ac 0.0000 0.0000 0.0000
Pr1 Pr 0.0000 0.0000 0.5000
Bi1 Bi 0.2500 0.2500 0.7500
Pt1 Pt 0.2500 0.2500 0.2500
```

=====

(10)
Below is a geometry-optimized AcPrBi4Rh2 structure, with properties calculated at the PBE-GGA level.

Calculated values
DOS(E_F) = 5.38 states/eV/cell
calculated total energy = -42.208 eV/cell
ΔE_f = -3.1 eV/f.u.

```
data_AcPrBi4Rh2
_chemical_formula_sum 'Ac1 Pr1 Bi4 Rh2'
_cell_length_a 4.9102
_cell_length_b 4.9102
_cell_length_c 10.0658
_cell_angle_alpha 90.00
_cell_angle_beta 90.00
_cell_angle_gamma 90.00
_symmetry_space_group_name_H-M 'P 4/m m m'
_symmetry_Int_Tables_number 123
_symmetry_space_group_name_Hall '-P 4 2'
loop_
_atom_site_label
_atom_site_type_symbol
_atom_site_fract_x
_atom_site_fract_y
_atom_site_fract_z
Ac1 Ac 0.0000 0.0000 0.0000
Pr1 Pr 0.0000 0.0000 0.5000
Bi1 Bi 0.0000 0.5000 0.2497
Rh1 Rh 0.5000 0.5000 0.3710
```

=====

(11)
Below is a geometry-optimized Ac2PrBi3Rh4 structure, with properties calculated at the PBE-GGA level.

Calculated values
DOS(E_F) = 9.01 states/eV/cell
calculated total energy = -59.973 eV/cell
ΔE_f = -5.9 eV/f.u.

```
data_Ac2PrBi3Rh4
_chemical_formula_sum 'Ac2 Pr1 Bi3 Rh4'
_cell_length_a 4.6995
_cell_length_b 4.6995
_cell_length_c 11.5259
_cell_angle_alpha 90.00
_cell_angle_beta 90.00
_cell_angle_gamma 90.00
_symmetry_space_group_name_H-M 'P -4 m 2'
_symmetry_Int_Tables_number 115
loop_
_symmetry_equiv_pos_as_xyz
'x,y,z'
'y,-x,-z'
'-x,-y,z'
'-y,x,-z'
'-x,y,z'
'-y,-x,-z'
'x,-y,z'
'y,x,-z'
loop_
_atom_site_label
_atom_site_type_symbol
_atom_site_fract_x
_atom_site_fract_y
_atom_site_fract_z
Ac1 Ac 0.0000 0.5000 0.2254
Pr1 Pr 0.0000 0.0000 0.5000
Bi1 Bi 0.0000 0.5000 0.8764
Bi2 Bi 0.5000 0.5000 0.5000
Rh1 Rh 0.0000 0.0000 0.0000
Rh2 Rh 0.0000 0.5000 0.6447
Rh3 Rh 0.5000 0.5000 0.0000
```

=====

(12)
Below is a geometry-optimized Ac2PrSmBi5 structure, with properties calculated at the PBE-GGA level.

Calculated values
DOS(E_F) = 7.32 states/eV/cell
calculated total energy = -39.799 eV/cell
ΔE_f = -2.7 eV/f.u.

```
data_Ac2PrSmBi5
_chemical_formula_sum 'Ac2 Pr1 Sm1 Bi5'
_cell_length_a 5.5594
_cell_length_b 5.5594
_cell_length_c 12.3366
_cell_angle_alpha 90.00
_cell_angle_beta 90.00
_cell_angle_gamma 90.00
_symmetry_space_group_name_H-M 'P 4/m m m'
_symmetry_Int_Tables_number 123
_symmetry_space_group_name_Hall '-P 4 2'
loop_
_atom_site_label
_atom_site_type_symbol
_atom_site_fract_x
_atom_site_fract_y
_atom_site_fract_z
Ac1 Ac 0.0000 0.0000 0.2207
Pr1 Pr 0.5000 0.5000 0.5000
Sm1 Sm 0.5000 0.5000 0.0000
Bi1 Bi 0.0000 0.0000 0.5000
Bi2 Bi 0.0000 0.5000 0.0000
Bi3 Bi 0.5000 0.5000 0.2520
```